w | VASP calculation (PBE) on a geometry-optimized Ir2Pb structure.

Computed properties:
crystal system = tetragonal

a b c (Å): 5.7353 5.7353 5.7353
angles (deg): 126.31 126.31 79.37
Fractional positions:
Ir (0.1798, 0.6798, 0.8597)
Ir (0.3202, 0.1798, 0.5000)
Ir (0.6798, 0.8202, 0.5000)
Ir (0.8202, 0.3202, 0.1403)
Pb (0.2500, 0.2500, 0.0000)
Pb (0.7500, 0.7500, 0.0000)

---

x | VASP calculation (PBE) on a geometry-optimized Ir2Pb structure.

Computed properties:
crystal system = orthorhombic

a b c (Å): 9.9729 9.9729 4.3111
angles (deg): 90.00 90.00 163.19
Fractional positions:
Ir (0.0413, 0.9587, 0.7500)
Ir (0.4225, 0.5775, 0.7500)
Ir (0.5775, 0.4225, 0.2500)
Ir (0.9587, 0.0413, 0.2500)
Pb (0.3247, 0.6753, 0.2500)
Pb (0.6753, 0.3247, 0.7500)

---

y | VASP calculation (PBE) on a geometry-optimized Ir2Pb structure.

Computed properties:
crystal system = monoclinic

a b c (Å): 5.2035 5.2035 7.8979
angles (deg): 92.61 92.61 32.48
Fractional positions:
Ir (0.0000, 0.0000, 0.0000)
Ir (0.3585, 0.3585, 0.7680)
Ir (0.5891, 0.5891, 0.2644)
Ir (0.7288, 0.7288, 0.9841)
Pb (0.0886, 0.0886, 0.6269)
Pb (0.3255, 0.3255, 0.3327)

---

Tell me which of them is the most stable. Sure, it is x.

---

w | VASP calculation (PBE) on a geometry-optimized Ir2Pb structure.

Computed properties:
crystal system = hexagonal

a b c (Å): 4.5065 4.5065 3.1657
angles (deg): 90.00 90.00 120.00
Fractional positions:
Ir (0.3333, 0.6667, 0.0000)
Ir (0.6667, 0.3333, 0.0000)
Pb (0.0000, 0.0000, 0.5000)

---

x | VASP calculation (PBE) on a geometry-optimized Ir2Pb structure.

Computed properties:
crystal system = tetragonal

a b c (Å): 4.9307 4.9307 4.9307
angles (deg): 137.30 137.30 61.98
Fractional positions:
Ir (0.1786, 0.1786, 0.0000)
Ir (0.8214, 0.8214, 0.0000)
Pb (0.5000, 0.5000, 0.0000)

---

Tell me which of them is the most stable. Sure, it is w.

---

w | VASP calculation (PBE) on a geometry-optimized IrPb3 structure.

Computed properties:
crystal system = orthorhombic

a b c (Å): 5.8640 5.8640 5.8640
angles (deg): 142.28 75.98 116.83
Fractional positions:
Ir (0.0000, 0.0000, 0.0000)
Pb (0.3325, 0.8325, 0.5000)
Pb (0.6028, 0.2903, 0.3125)
Pb (0.9779, 0.2903, 0.6875)

---

x | VASP calculation (PBE) on a geometry-optimized IrPb3 structure.

Computed properties:
crystal system = orthorhombic

a b c (Å): 7.2144 7.2144 7.2144
angles (deg): 152.32 142.13 47.55
Fractional positions:
Ir (0.0000, 0.0000, 0.0000)
Pb (0.1806, 0.6806, 0.5000)
Pb (0.5000, 0.5000, 0.0000)
Pb (0.8194, 0.3194, 0.5000)

---

Tell me which of them is the most stable. Sure, it is w.

---

w | VASP calculation (PBE) on a geometry-optimized IrPb3 structure.

Computed properties:
crystal system = trigonal

a b c (Å): 5.9964 5.9964 5.9964
angles (deg): 116.61 116.61 116.61
Fractional positions:
Ir (0.0000, 0.0000, 0.0000)
Pb (0.0000, 0.5000, 0.5000)
Pb (0.5000, 0.0000, 0.5000)
Pb (0.5000, 0.5000, 0.0000)

---

x | VASP calculation (PBE) on a geometry-optimized IrPb3 structure.

Computed properties:
crystal system = monoclinic

a b c (Å): 3.4684 3.3114 8.9024
angles (deg): 90.00 90.98 90.00
Fractional positions:
Ir (0.0000, 0.0000, 0.0000)
Pb (0.0000, 0.0000, 0.5000)
Pb (0.4940, 0.5000, 0.8057)
Pb (0.5060, 0.5000, 0.1943)

---

Tell me which of them is the most stable. Sure, it is x.

---

w | VASP calculation (PBE) on a geometry-optimized IrPb5 structure.

Computed properties:
crystal system = tetragonal

a b c (Å): 3.4430 3.4430 13.9777
angles (deg): 90.00 90.00 90.00
Fractional positions:
Ir (0.0000, 0.0000, 0.0000)
Pb (0.0000, 0.0000, 0.3213)
Pb (0.0000, 0.0000, 0.6787)
Pb (0.5000, 0.5000, 0.1213)
Pb (0.5000, 0.5000, 0.5000)
Pb (0.5000, 0.5000, 0.8787)

---

x | VASP calculation (PBE) on a geometry-optimized IrPb5 structure.

Computed properties:
crystal system = cubic

a b c (Å): 6.2971 6.2971 6.2971
angles (deg): 60.00 60.00 60.00
Fractional positions:
Ir (0.0000, 0.0000, 0.0000)
Pb (0.3743, 0.3743, 0.3743)
Pb (0.3743, 0.3743, 0.8771)
Pb (0.3743, 0.8771, 0.3743)
Pb (0.7500, 0.7500, 0.7500)
Pb (0.8771, 0.3743, 0.3743)

---

Tell me which of them is the most stable. Sure, it is w.

---

w | VASP calculation (PBE) on a geometry-optimized Ir3Pb5 structure.

Computed properties:
crystal system = triclinic

a b c (Å): 6.1970 7.2383 8.8770
angles (deg): 89.52 78.54 79.71
Fractional positions:
Ir (0.0302, 0.1684, 0.0313)
Ir (0.2178, 0.9893, 0.5211)
Ir (0.3919, 0.4849, 0.2605)
Ir (0.6081, 0.5151, 0.7395)
Ir (0.7822, 0.0107, 0.4789)
Ir (0.9698, 0.8316, 0.9687)
Pb (0.0010, 0.3134, 0.3386)
Pb (0.1343, 0.8353, 0.2412)
Pb (0.2639, 0.4558, 0.9668)
Pb (0.4024, 0.9089, 0.8072)
Pb (0.4076, 0.3047, 0.5538)
Pb (0.5924, 0.6953, 0.4462)
Pb (0.5976, 0.0911, 0.1928)
Pb (0.7361, 0.5442, 0.0332)
Pb (0.8657, 0.1647, 0.7588)
Pb (0.9990, 0.6866, 0.6614)

---

x | VASP calculation (PBE) on a geometry-optimized Ir3Pb5 structure.

Computed properties:
crystal system = hexagonal

a b c (Å): 8.2979 8.2979 6.1422
angles (deg): 90.00 90.00 120.00
Fractional positions:
Ir (0.0000, 0.4135, 0.2500)
Ir (0.0000, 0.5865, 0.7500)
Ir (0.4135, 0.0000, 0.2500)
Ir (0.4135, 0.4135, 0.7500)
Ir (0.5865, 0.0000, 0.7500)
Ir (0.5865, 0.5865, 0.2500)
Pb (0.0000, 0.2491, 0.7500)
Pb (0.0000, 0.7509, 0.2500)
Pb (0.2491, 0.0000, 0.7500)
Pb (0.2491, 0.2491, 0.2500)
Pb (0.3333, 0.6667, 0.0000)
Pb (0.3333, 0.6667, 0.5000)
Pb (0.6667, 0.3333, 0.0000)
Pb (0.6667, 0.3333, 0.5000)
Pb (0.7509, 0.0000, 0.2500)
Pb (0.7509, 0.7509, 0.7500)

---

Tell me which of them is the most stable. Sure, it is w.

---

w | VASP calculation (PBE) on a geometry-optimized IrPd3Pb structure.

Computed properties:
crystal system = cubic

a b c (Å): 4.8916 4.8916 4.8916
angles (deg): 90.00 90.00 90.00
Fractional positions:
Ir (0.0000, 0.0000, 0.0000)
Pd (0.0000, 0.0000, 0.5000)
Pd (0.0000, 0.5000, 0.0000)
Pd (0.5000, 0.0000, 0.0000)
Pb (0.5000, 0.5000, 0.5000)

---

x | VASP calculation (PBE) on a geometry-optimized IrPd3Pb structure.

Computed properties:
crystal system = cubic

a b c (Å): 4.9579 4.9579 4.9579
angles (deg): 90.00 90.00 90.00
Fractional positions:
Ir (0.0000, 0.0000, 0.0000)
Pd (0.0000, 0.5000, 0.5000)
Pd (0.5000, 0.0000, 0.5000)
Pd (0.5000, 0.5000, 0.0000)
Pb (0.5000, 0.5000, 0.5000)

---

Tell me which of them is the most stable. Sure, it is w.

---

w | VASP calculation (PBE) on a geometry-optimized PmIrPb structure.

Computed properties:
crystal system = tetragonal

a b c (Å): 12.7143 12.7143 12.7143
angles (deg): 163.87 163.87 22.89
Fractional positions:
Pm (0.1557, 0.1557, 0.0000)
Pm (0.8443, 0.8443, 0.0000)
Ir (0.2673, 0.2673, 0.0000)
Ir (0.7327, 0.7327, 0.0000)
Pb (0.4390, 0.4390, 0.0000)
Pb (0.5610, 0.5610, 0.0000)

---

x | VASP calculation (PBE) on a geometry-optimized PmIrPb structure.

Computed properties:
crystal system = cubic

a b c (Å): 4.8083 4.8083 4.8083
angles (deg): 60.00 60.00 60.00
Fractional positions:
Pm (0.0000, 0.0000, 0.0000)
Ir (0.2500, 0.2500, 0.2500)
Pb (0.5000, 0.5000, 0.5000)

---

y | VASP calculation (PBE) on a geometry-optimized PmIrPb structure.

Computed properties:
crystal system = tetragonal

a b c (Å): 6.4610 6.4610 6.4610
angles (deg): 148.93 148.93 44.52
Fractional positions:
Pm (0.0000, 0.0000, 0.0000)
Ir (0.3571, 0.3571, 0.0000)
Pb (0.7161, 0.7161, 0.0000)

---

z | VASP calculation (PBE) on a geometry-optimized PmIrPb structure.

Computed properties:
crystal system = hexagonal

a b c (Å): 4.8188 4.8188 3.4930
angles (deg): 90.00 90.00 120.00
Fractional positions:
Pm (0.0000, 0.0000, 0.0000)
Ir (0.3333, 0.6667, 0.5000)
Pb (0.6667, 0.3333, 0.5000)

---

Tell me which of them is the most stable. Sure, it is x.

---

w | VASP calculation (PBE) on a geometry-optimized Pm6Ir2Pb structure.

Computed properties:
crystal system = monoclinic

a b c (Å): 6.2896 6.2896 9.6277
angles (deg): 120.20 120.20 53.10
Fractional positions:
Pm (0.0283, 0.0283, 0.1768)
Pm (0.3053, 0.3053, 0.9175)
Pm (0.3793, 0.3793, 0.5616)
Pm (0.6207, 0.6207, 0.4384)
Pm (0.6947, 0.6947, 0.0825)
Pm (0.9717, 0.9717, 0.8232)
Ir (0.3047, 0.3047, 0.2210)
Ir (0.6953, 0.6953, 0.7790)
Pb (0.0000, 0.0000, 0.5000)

---

x | VASP calculation (PBE) on a geometry-optimized Pm6Ir2Pb structure.

Computed properties:
crystal system = orthorhombic

a b c (Å): 8.7868 8.7868 8.7868
angles (deg): 113.73 110.68 104.15
Fractional positions:
Pm (0.0279, 0.2337, 0.7942)
Pm (0.1810, 0.2936, 0.4745)
Pm (0.1810, 0.7064, 0.8874)
Pm (0.3313, 0.0205, 0.6892)
Pm (0.3313, 0.6422, 0.3108)
Pm (0.4394, 0.2337, 0.2058)
Pm (0.5606, 0.7663, 0.7942)
Pm (0.6687, 0.3578, 0.6892)
Pm (0.6687, 0.9795, 0.3108)
Pm (0.8190, 0.2936, 0.1126)
Pm (0.8190, 0.7064, 0.5255)
Pm (0.9721, 0.7663, 0.2058)
Ir (0.1323, 0.6323, 0.5000)
Ir (0.3371, 0.0000, 0.3371)
Ir (0.6629, 0.0000, 0.6629)
Ir (0.8677, 0.3677, 0.5000)
Pb (0.0000, 0.0000, 0.0000)
Pb (0.5000, 0.5000, 0.0000)

---

Tell me which of them is the most stable. Sure, it is x.

---

w | VASP calculation (PBE) on a geometry-optimized TbPmIrPb structure.

Computed properties:
crystal system = tetragonal

a b c (Å): 3.5402 3.5402 8.1300
angles (deg): 90.00 90.00 90.00
Fractional positions:
Tb (0.0000, 0.0000, 0.0000)
Pm (0.0000, 0.0000, 0.4102)
Ir (0.5000, 0.5000, 0.1957)
Pb (0.5000, 0.5000, 0.7115)

---

x | VASP calculation (PBE) on a geometry-optimized TbPmIrPb structure.

Computed properties:
crystal system = cubic

a b c (Å): 5.2126 5.2126 5.2126
angles (deg): 60.00 60.00 60.00
Fractional positions:
Tb (0.0000, 0.0000, 0.0000)
Pm (0.5000, 0.5000, 0.5000)
Ir (0.7500, 0.7500, 0.7500)
Pb (0.2500, 0.2500, 0.2500)

---

Tell me which of them is the most stable. Sure, it is w.

---

w | VASP calculation (PBE) on a geometry-optimized IrPtPb2 structure.

Computed properties:
crystal system = monoclinic

a b c (Å): 5.6226 5.6226 5.2156
angles (deg): 105.17 105.17 31.73
Fractional positions:
Ir (0.0000, 0.0000, 0.0000)
Pt (0.3074, 0.3074, 0.6727)
Pb (0.5498, 0.5498, 0.5156)
Pb (0.7493, 0.7493, 0.1419)

---

x | VASP calculation (PBE) on a geometry-optimized IrPtPb2 structure.

Computed properties:
crystal system = trigonal

a b c (Å): 9.1004 9.1004 9.1004
angles (deg): 20.78 20.78 20.78
Fractional positions:
Ir (0.0000, 0.0000, 0.0000)
Pt (0.5000, 0.5000, 0.5000)
Pb (0.2522, 0.2522, 0.2522)
Pb (0.7478, 0.7478, 0.7478)

---

y | VASP calculation (PBE) on a geometry-optimized IrPtPb2 structure.

Computed properties:
crystal system = cubic

a b c (Å): 4.8685 4.8685 4.8685
angles (deg): 60.00 60.00 60.00
Fractional positions:
Ir (0.0000, 0.0000, 0.0000)
Pt (0.5000, 0.5000, 0.5000)
Pb (0.2500, 0.2500, 0.2500)
Pb (0.7500, 0.7500, 0.7500)

---

z | VASP calculation (PBE) on a geometry-optimized IrPtPb2 structure.

Computed properties:
crystal system = orthorhombic

a b c (Å): 6.2900 6.2900 6.2900
angles (deg): 152.02 132.85 55.72
Fractional positions:
Ir (0.0000, 0.0000, 0.0000)
Pt (0.7958, 0.2958, 0.5000)
Pb (0.2365, 0.7365, 0.5000)
Pb (0.5419, 0.5419, 0.0000)

---

Tell me which of them is the most stable. Sure, it is w.